Material: ZrScAs2
Method: DFT, SCAN
State: PBEsol geometry

Properties
As for the uncorrected energy: -90.91 eV for the cell shown. For the formation enthalpy at 0 K, the calculation gives -1397.5 meV per atom.

a b c (Å): 3.8241 3.8241 5.3934
angles (deg): 90.00 90.00 90.00
Positions (direct):
Zr: 0.0000 0.0000 0.0000
Sc: 0.5000 0.5000 0.5000
As: 0.0000 0.0000 0.5000
As: 0.5000 0.5000 0.0000